# CdAgNO2 | Alexandria via LeMat-Bulk | PBEsol | relaxed
data_CdAgNO2
_symmetry_space_group_name_H-M 'P 4/m m m'
_symmetry_Int_Tables_number 123
_symmetry_space_group_name_Hall '-P 4 2'
_cell_length_a 4.1535
_cell_length_b 4.1535
_cell_length_c 4.1758
_cell_angle_alpha 90.00
_cell_angle_beta 90.00
_cell_angle_gamma 90.00
loop_
_atom_site_label
_atom_site_fract_x
_atom_site_fract_y
_atom_site_fract_z
Cd1 0.0000 0.0000 0.0000
Ag1 0.5000 0.5000 0.5000
N1 0.0000 0.0000 0.5000
O1 0.0000 0.5000 0.0000
# Mass density in Mg/m³: 6.14
# Raw formation energy in eV/atom: 1.0805